(1)
A relaxed structure of CrNiHg2, computed with PBE.

Properties
energy of formation: 1.89 eV per formula unit
E above lowest polymorph: 63 kJ/mol of formula units
calculated volume: 18.30 Å³ per atom

Geometry as CIF:
```
data_CrNiHg2
_chemical_formula_sum 'Cr3 Ni3 Hg6'
_cell_length_a 3.1561
_cell_length_b 3.1561
_cell_length_c 25.4564
_cell_angle_alpha 90.00
_cell_angle_beta 90.00
_cell_angle_gamma 120.00
_space_group_name_H-M_alt 'R -3 m'
_space_group_IT_number 166
_space_group_name_Hall '-R 3 2"'
loop_
_atom_site_label
_atom_site_fract_x
_atom_site_fract_y
_atom_site_fract_z
Cr1 0.0000 0.0000 0.0000
Ni1 0.0000 0.0000 0.5000
Hg1 0.0000 0.0000 0.2453
```


(2)
A relaxed structure of CrNiHg2, computed with PBE.

Properties
energy of formation: 1.39 eV per formula unit
E above lowest polymorph: 15 kJ/mol of formula units
calculated volume: 17.12 Å³ per atom

Geometry as CIF:
```
data_CrNiHg2
_chemical_formula_sum 'Cr4 Ni4 Hg8'
_cell_length_a 6.494
_cell_length_b 6.494
_cell_length_c 6.494
_cell_angle_alpha 90.00
_cell_angle_beta 90.00
_cell_angle_gamma 90.00
_space_group_name_H-M_alt 'F m -3 m'
_space_group_IT_number 225
_space_group_name_Hall '-F 4 2 3'
loop_
_atom_site_label
_atom_site_fract_x
_atom_site_fract_y
_atom_site_fract_z
Cr1 0.000 0.000 0.000
Ni1 0.000 0.000 0.500
Hg1 0.250 0.250 0.250
```


(3)
A relaxed structure of CrNi2Hg, computed with PBE.

Properties
energy of formation: 1.38 eV per formula unit
calculated volume: 14.40 Å³ per atom

Geometry as CIF:
```
data_CrNi2Hg
_chemical_formula_sum 'Cr1 Ni2 Hg1'
_cell_length_a 2.815
_cell_length_b 4.102
_cell_length_c 5.181
_cell_angle_alpha 90.00
_cell_angle_beta 105.74
_cell_angle_gamma 90.00
_space_group_name_H-M_alt 'P 1 m 1'
_space_group_IT_number 6
loop_
_space_group_symop_operation_xyz
'x,y,z'
'x,-y,z'
loop_
_atom_site_label
_atom_site_fract_x
_atom_site_fract_y
_atom_site_fract_z
Cr1 0.000 0.000 0.000
Ni1 0.282 0.000 0.569
Ni2 0.420 0.500 0.834
Hg1 0.673 0.500 0.351
```


(4)
A relaxed structure of CrNiHg2, computed with PBE.

Properties
energy of formation: 1.36 eV per formula unit
E above lowest polymorph: 12 kJ/mol of formula units
calculated volume: 17.18 Å³ per atom

Geometry as CIF:
```
data_CrNiHg2
_chemical_formula_sum 'Cr2 Ni2 Hg4'
_cell_length_a 4.294
_cell_length_b 4.294
_cell_length_c 7.451
_cell_angle_alpha 90.00
_cell_angle_beta 90.00
_cell_angle_gamma 90.00
_space_group_name_H-M_alt 'I 4/m m m'
_space_group_IT_number 139
_space_group_name_Hall '-I 4 2'
loop_
_atom_site_label
_atom_site_fract_x
_atom_site_fract_y
_atom_site_fract_z
Cr1 0.000 0.000 0.000
Ni1 0.000 0.000 0.500
Hg1 0.000 0.500 0.250
```